# 1
A relaxed structure of BTePH2. Source: the Alexandria database, functional GGA-PBE.

Lattice parameters (Å, degrees): 3.613 3.613 4.818 90.00 90.00 90.00
Element x y z (fractional)
1 P 0.500 0.500 0.500
2 B 0.000 0.000 0.500
3 Te 0.000 0.000 0.000
4 H 0.000 0.500 0.000
5 H 0.500 0.000 0.000

## Properties
- electronic total energy (eV/atom) = -3.341

# 2
A relaxed structure of Pa2BH. Source: the Alexandria database, functional GGA-PBE.

Lattice parameters (Å, degrees): 3.494 3.494 6.429 74.23 74.23 60.00
Element x y z (fractional)
1 H 0.500 0.500 0.500
2 B 0.000 0.000 0.000
3 Pa 0.749 0.749 0.754
4 Pa 0.251 0.251 0.246

## Properties
- ΔE to the lowest computed polymorph (meV/atom) = 0

# 3
A relaxed structure of PaBH2. Source: the Alexandria database, functional GGA-PBE.

Lattice parameters (Å, degrees): 3.778 3.778 3.780 60.02 60.02 60.00
Element x y z (fractional)
1 H 0.250 0.250 0.251
2 H 0.750 0.750 0.749
3 B 0.500 0.500 0.500
4 Pa 0.000 0.000 0.000

## Properties
- electronic total energy (eV/atom) = -5.898

# 4
A relaxed structure of PaB2H6. Source: the Alexandria database, functional GGA-PBE.

Lattice parameters (Å, degrees): 21.298 5.254 3.744 45.51 26.59 26.21
Site moments in Bohr magnetons follow the coordinates.
Element x y z (fractional)
1 H 0.319 0.613 0.046  0.00
2 H 0.723 0.151 0.469  0.00
3 H 0.277 0.849 0.531  0.00
4 H 0.681 0.387 0.954  0.00
5 H 0.725 0.792 0.162  0.00
6 H 0.275 0.208 0.838  0.00
7 B 0.829 0.873 0.508  0.00
8 B 0.171 0.127 0.492  0.00
9 Pa 0.000 0.000 0.000  0.85

## Properties
- ΔE to the lowest computed polymorph (meV/atom) = 0

# 5
A relaxed structure of PaB2H2. Source: the Alexandria database, functional GGA-PBE.

Lattice parameters (Å, degrees): 3.447 3.715 8.050 103.34 102.36 90.00
Element x y z (fractional)
1 Pa 0.851 0.601 0.702
2 Pa 0.149 0.399 0.298
3 B 0.723 0.973 0.445
4 B 0.277 0.027 0.555
5 B 0.394 0.144 0.788
6 B 0.606 0.856 0.212
7 H 0.565 0.315 0.131
8 H 0.927 0.177 0.855
9 H 0.435 0.685 0.869
10 H 0.073 0.823 0.145

## Properties
- electronic total energy (eV/atom) = -5.943

# 6
A relaxed structure of Pa2BH. Source: the Alexandria database, functional GGA-PBE.

Lattice parameters (Å, degrees): 3.149 3.149 5.937 90.00 90.00 90.00
Element x y z (fractional)
1 H 0.500 0.500 0.500
2 B 0.500 0.500 0.000
3 Pa 0.000 0.000 0.754
4 Pa 0.000 0.000 0.246

## Properties
- ΔE to the lowest computed polymorph (meV/atom) = 226

# 7
A relaxed structure of PaB2H6. Source: the Alexandria database, functional GGA-PBE.

Lattice parameters (Å, degrees): 6.377 5.575 5.575 72.06 55.11 55.11
Element x y z (fractional)
1 Pa 0.250 0.250 0.750
2 Pa 0.750 0.750 0.250
3 B 0.292 0.697 0.803
4 B 0.208 0.197 0.303
5 B 0.708 0.303 0.197
6 B 0.792 0.803 0.697
7 H 0.242 0.879 0.620
8 H 0.258 0.380 0.121
9 H 0.758 0.121 0.380
10 H 0.742 0.620 0.879
11 H 0.044 0.695 0.484
12 H 0.456 0.516 0.305
13 H 0.956 0.305 0.516
14 H 0.544 0.484 0.695
15 H 0.222 0.806 0.016
16 H 0.278 0.984 0.194
17 H 0.778 0.194 0.984
18 H 0.722 0.016 0.806

## Properties
- ΔE to the lowest computed polymorph (meV/atom) = 43

# 8
A relaxed structure of BH2Pb. Source: the Alexandria database, functional GGA-PBE.

Lattice parameters (Å, degrees): 4.017 4.017 4.017 60.00 60.00 60.00
Element x y z (fractional)
1 Pb 0.500 0.500 0.500
2 H 0.250 0.250 0.250
3 H 0.750 0.750 0.750
4 B 0.000 0.000 0.000

## Properties
- ΔE to the lowest computed polymorph (meV/atom) = 547

# 9
A relaxed structure of B3HPb. Source: the Alexandria database, functional GGA-PBE.

Lattice parameters (Å, degrees): 4.767 4.767 4.767 90.00 90.00 90.00
Element x y z (fractional)
1 Pb 0.000 0.000 0.000
2 H 0.500 0.500 0.500
3 B 0.000 0.500 0.000
4 B 0.000 0.000 0.500
5 B 0.500 0.000 0.000

## Properties
- ΔE to the lowest computed polymorph (meV/atom) = 934

# 10
A relaxed structure of B2H8Pb. Source: the Alexandria database, functional GGA-PBE.

Lattice parameters (Å, degrees): 5.780 4.687 4.821 119.08 113.24 90.00
Element x y z (fractional)
1 B 0.297 0.777 0.554
2 B 0.703 0.223 0.446
3 H 0.769 0.954 0.346
4 H 0.231 0.609 0.654
5 H 0.532 0.837 0.673
6 H 0.468 0.163 0.327
7 H 0.769 0.391 0.346
8 H 0.231 0.046 0.654
9 H 0.205 0.612 0.225
10 H 0.795 0.388 0.775
11 Pb 0.000 0.000 0.000

## Properties
- electronic total energy (eV/atom) = -4.000

# 11
A relaxed structure of BHPb2. Source: the Alexandria database, functional GGA-PBE.

Lattice parameters (Å, degrees): 5.559 5.559 6.707 65.52 65.52 90.00
Element x y z (fractional)
1 Pb 0.621 0.125 0.250
2 Pb 0.129 0.625 0.250
3 Pb 0.375 0.379 0.750
4 Pb 0.875 0.871 0.750
5 H 0.500 0.500 0.000
6 H 0.250 0.750 0.500
7 B 0.000 0.000 0.000
8 B 0.750 0.250 0.500

## Properties
- ΔE to the lowest computed polymorph (meV/atom) = 0

# 12
A relaxed structure of B3HPb. Source: the Alexandria database, functional GGA-PBE.

Lattice parameters (Å, degrees): 3.832 3.832 3.832 90.00 90.00 90.00
Element x y z (fractional)
1 Pb 0.500 0.500 0.500
2 H 0.000 0.000 0.000
3 B 0.000 0.500 0.000
4 B 0.000 0.000 0.500
5 B 0.500 0.000 0.000

## Properties
- ΔE to the lowest computed polymorph (meV/atom) = 0